Record 1
ZnB2Ir3 | PBE | relaxed

```
ZnB2Ir3
1.0
-0.653 1.315 -2.494
-2.703 -4.664 -1.752
-7.530 3.025 3.565
Zn B Ir
2 4 6
Cartesian
-10.163 -1.620 1.805 Zn
-1.377 -2.275 -0.839 Zn
-4.877 -3.744 -0.698 B
-7.596 -2.125 -0.812 B
-6.663 -0.152 1.664 B
-4.597 -0.455 -0.716 B
-2.596 0.170 -0.910 Ir
-6.894 1.913 1.134 Ir
-4.419 0.384 1.359 Ir
-8.253 -0.432 0.253 Ir
-3.940 -2.148 -1.781 Ir
-5.770 -1.948 0.483 Ir
```

total energy = -85.420 eV per cell
M_tot = 0.0 μB per formula unit

Record 2
V2InSb2 | PBE | relaxed

```
V2InSb2
1.0
-5.561 -4.149 2.478
0.014 -3.791 -6.317
2.372 -2.339 1.409
Sb In V
4 2 4
Cartesian
0.328 -4.303 -3.053 Sb
-2.450 -7.091 -3.003 Sb
-3.504 -5.976 0.622 Sb
-0.726 -3.188 0.572 Sb
0.000 0.000 0.000 In
-2.774 -3.970 -1.920 In
-2.022 -4.799 -4.563 V
-4.806 -5.997 -1.862 V
-3.526 -3.141 0.723 V
-0.742 -1.944 -1.977 V
```

total energy = -57.548 eV per cell
formation energy from raw total energies = 0.089 eV/atom
M_tot = 0.0 μB per formula unit

Record 3
CaNbCu | PBE | relaxed

```
CaNbCu
1.0
-0.280 -0.097 3.951
-0.746 -4.074 -0.152
7.370 -3.654 2.422
Ca Nb Cu
2 2 2
Cartesian
4.606 -3.376 2.306 Ca
1.705 -5.022 4.041 Ca
-0.301 -2.516 -0.018 Nb
5.323 -5.662 4.287 Nb
1.264 -2.745 2.074 Cu
0.022 -0.403 2.041 Cu
```

total energy = -30.407 eV per cell
M_tot = 0.0 μB per formula unit

Number 1: N(E_F) 3.6 states/eV per cell. Number 2: N(E_F) 6.0 states/eV per cell. Number 3: N(E_F) 6.8 states/eV per cell.